An optimized crystal structure of Y2ReTc. Source: Alexandria, functional PBE.

Properties
For the size of the total moment, the calculation gives 0.0 Bohr magnetons per cell. For the formation energy, the calculation gives 396 meV per atom.

The structure in extended XYZ format:
```
4
Lattice="-2.675 -1.327 1.707 1.938 -0.260 2.833 -1.933 6.345 1.904" Properties=species:S:1:pos:R:3 pbc="T T T"
Y -0.968 3.177 0.953
Y -1.932 6.340 1.903
Re -0.852 0.793 2.746
Tc -1.818 3.965 3.698
```



An optimized crystal structure of YReTc2. Source: Alexandria, functional PBE.

Properties
For the size of the total moment, the calculation gives 0.0 Bohr magnetons per cell. For the formation energy, the calculation gives 291 meV per atom.

The structure in extended XYZ format:
```
4
Lattice="4.568 0.000 0.000 2.284 3.956 0.000 2.284 1.319 3.730" Properties=species:S:1:pos:R:3 pbc="T T T"
Tc 2.284 1.319 0.933
Tc 0.000 0.000 0.000
Y 6.853 3.956 2.798
Re 4.568 2.638 1.865
```



An optimized crystal structure of Y2ReTc. Source: Alexandria, functional PBE.

Properties
For the size of the total moment, the calculation gives 0.0 Bohr magnetons per cell. For the formation energy, the calculation gives 445 meV per atom.

The structure in extended XYZ format:
```
4
Lattice="3.453 0.000 0.000 0.000 4.990 0.000 0.000 0.000 4.614" Properties=species:S:1:pos:R:3 pbc="T T T"
Re 1.727 0.000 2.307
Y 0.000 0.000 0.000
Y 1.727 2.495 0.000
Tc 0.000 2.495 2.307
```



An optimized crystal structure of YReTc2. Source: Alexandria, functional PBE.

Properties
For the size of the total moment, the calculation gives 0.0 Bohr magnetons per cell. For the formation energy, the calculation gives 355 meV per atom.

The structure in extended XYZ format:
```
4
Lattice="3.208 0.000 0.000 0.000 4.721 0.000 0.000 0.000 4.497" Properties=species:S:1:pos:R:3 pbc="T T T"
Tc 1.604 2.360 0.000
Tc 0.000 0.000 0.000
Re 0.000 2.360 2.249
Y 1.604 0.000 2.249
```



An optimized crystal structure of YReTc2. Source: Alexandria, functional PBE.

Properties
For the size of the total moment, the calculation gives 0.0 Bohr magnetons per cell. For the formation energy, the calculation gives 247 meV per atom.

The structure in extended XYZ format:
```
4
Lattice="-2.480 0.508 -1.882 -1.920 -1.162 2.217 -0.751 6.458 2.733" Properties=species:S:1:pos:R:3 pbc="T T T"
Tc -2.358 1.030 0.742
Tc -0.750 6.451 2.730
Re -2.795 4.789 2.333
Y -0.375 3.221 1.363
```



An optimized crystal structure of Y2ReTc. Source: Alexandria, functional PBE.

Properties
For the size of the total moment, the calculation gives 0.0 Bohr magnetons per cell. For the formation energy, the calculation gives 452 meV per atom.

The structure in extended XYZ format:
```
4
Lattice="-0.812 5.137 1.864 -2.739 -1.084 -4.673 -2.868 -0.173 1.011" Properties=species:S:1:pos:R:3 pbc="T T T"
Tc -2.804 -0.628 -1.831
Re -1.840 2.482 1.437
Y -1.776 2.027 -1.405
Y 0.000 0.000 0.000
```



An optimized crystal structure of Y2ReTc. Source: Alexandria, functional PBE.

Properties
For the size of the total moment, the calculation gives 0.0 Bohr magnetons per cell. For the formation energy, the calculation gives 26 meV per atom.

The structure in extended XYZ format:
```
4
Lattice="-0.568 2.141 2.251 0.290 -2.242 2.206 8.720 1.700 0.582" Properties=species:S:1:pos:R:3 pbc="T T T"
Y 2.581 0.480 2.410
Y 8.174 1.594 0.546
Re 4.785 0.933 0.319
Tc 5.980 1.143 2.637
```



An optimized crystal structure of Y2ReTc. Source: Alexandria, functional PBE.

Properties
For the size of the total moment, the calculation gives 0.0 Bohr magnetons per cell. For the formation energy, the calculation gives 464 meV per atom.

The structure in extended XYZ format:
```
4
Lattice="9.952 0.035 0.020 9.422 3.204 0.020 9.422 1.575 2.790" Properties=species:S:1:pos:R:3 pbc="T T T"
Y 6.814 1.139 0.670
Y 0.385 0.064 0.038
Tc 21.934 3.666 2.156
Re 14.062 2.350 1.382
```